Entry 1:
6
Lattice="-1.801 1.739 3.985 -4.052 -0.388 -2.361 1.895 -8.898 2.310" Properties=species:S:1:pos:R:3 comment="GGA-PBE PuMgBi, optimized geometry" dos_at_fermi_per_ev_cell=13.83 e_form_ev_per_atom=0.09 spacegroup="No. 69" magnetic_moment_mub_per_cell=13.46 pbc="T T T"
Mg -2.542 -4.305 0.381
Pu -3.506 0.129 -0.820
Pu -2.347 1.223 2.444
Bi -0.725 -5.777 2.193
Bi -3.233 -1.770 1.741
Mg -1.416 -3.242 3.553

***

Entry 2:
4
Lattice="-4.216 0.213 1.160 -0.030 -4.959 0.801 1.353 0.764 4.777" Properties=species:S:1:pos:R:3 comment="GGA-PBE PuMgBi2, optimized geometry" dos_at_fermi_per_ev_cell=11.11 e_form_ev_per_atom=-0.30 spacegroup="No. 123" e_above_lowest_polymorph_ev_per_atom=0.000 magnetic_moment_mub_per_cell=5.57 pbc="T T T"
Mg -2.108 0.106 0.580
Pu -1.446 -1.991 3.369
Bi 0.677 0.382 2.388
Bi -0.015 -2.479 0.401